# 1
Below is GdErGa after structural relaxation, with properties calculated at the PBE-GGA level.

Results
For the formation energy, the calculation gives -25.40 kJ per mole of atoms. The total DFT energy (no corrections) comes out at -22.460 eV per formula unit.

Cell: 7.0222 7.0222 7.0222 Å, 90.00 90.00 90.00°
Space group F-43m (No. 216)
One atom of each set of equivalent atoms:
Gd 0.0000 0.0000 0.0000 (multiplicity 4)
Er 0.0000 0.0000 0.5000 (multiplicity 4)
Ga 0.2500 0.2500 0.7500 (multiplicity 4)



# 2
Below is GdErGa2 after structural relaxation, with properties calculated at the PBE-GGA level.

Results
For the formation energy, the calculation gives -56.67 kJ per mole of atoms. The total DFT energy (no corrections) comes out at -27.047 eV per formula unit.

Cell: 3.5618 3.5618 7.2098 Å, 90.00 90.00 90.00°
Space group P4/mmm (No. 123)
One atom of each set of equivalent atoms:
Gd 0.0000 0.0000 0.0000 (multiplicity 1)
Er 0.0000 0.0000 0.5000 (multiplicity 1)
Ga 0.5000 0.5000 0.2587 (multiplicity 2)



# 3
Below is GdErGa after structural relaxation, with properties calculated at the PBE-GGA level.

Results
For the formation energy, the calculation gives -26.52 kJ per mole of atoms. The total DFT energy (no corrections) comes out at -22.495 eV per formula unit.

Cell: 4.9632 4.9632 3.6614 Å, 90.00 90.00 120.00°
Space group P3m1 (No. 156)
One atom of each set of equivalent atoms:
Gd 0.0000 0.0000 0.0000 (multiplicity 1)
Er 0.6667 0.3333 0.5390 (multiplicity 1)
Ga 0.3333 0.6667 0.3271 (multiplicity 1)



# 4
Below is GdErGa2 after structural relaxation, with properties calculated at the PBE-GGA level.

Results
For the formation energy, the calculation gives -39.66 kJ per mole of atoms. The total DFT energy (no corrections) comes out at -26.342 eV per formula unit.

Cell: 3.6401 3.6401 26.2615 Å, 90.00 90.00 120.00°
Space group R-3m (No. 166, hexagonal axes)
One atom of each set of equivalent atoms:
Gd 0.0000 0.0000 0.0000 (multiplicity 3)
Er 0.0000 0.0000 0.5000 (multiplicity 3)
Ga 0.0000 0.0000 0.2486 (multiplicity 6)



# 5
Below is GdErGa after structural relaxation, with properties calculated at the PBE-GGA level.

Results
For the formation energy, the calculation gives -35.97 kJ per mole of atoms. The total DFT energy (no corrections) comes out at -22.789 eV per formula unit.

Cell: 3.5005 3.5005 12.8888 Å, 90.00 90.00 90.00°
Space group I4mm (No. 107)
One atom of each set of equivalent atoms:
Gd 0.0000 0.0000 0.0000 (multiplicity 2)
Er 0.0000 0.0000 0.2903 (multiplicity 2)
Ga 0.0000 0.0000 0.6495 (multiplicity 2)



# 6
Below is GdErGa2 after structural relaxation, with properties calculated at the PBE-GGA level.

Results
For the formation energy, the calculation gives -55.87 kJ per mole of atoms. The total DFT energy (no corrections) comes out at -27.014 eV per formula unit.

Cell: 7.1483 7.1483 7.1483 Å, 90.00 90.00 90.00°
Space group Fm-3m (No. 225)
One atom of each set of equivalent atoms:
Gd 0.0000 0.0000 0.0000 (multiplicity 4)
Er 0.0000 0.0000 0.5000 (multiplicity 4)
Ga 0.2500 0.2500 0.2500 (multiplicity 8)